Entry 1:
LaAlZn2 after structural relaxation, computed with PBE.

Computed properties:
E_tot = -0.1091 Ha/atom
magnetization = 0.0 μB per formula unit
DOS(E_F) = 2.13 states/eV per cell
formation energy from the elements = -0.164 eV per atom

abc: 3.107 3.794 7.021
angles: 90.00 90.00 90.00
Fractional coordinates of all 4 atoms:
Zn1 0.000 0.000 0.054
Zn2 0.000 0.000 0.446
Al1 0.500 0.500 0.250
La1 0.500 0.500 0.750

=====

Entry 2:
LaAlZn after structural relaxation, computed with PBE.

Computed properties:
E_tot = -0.1301 Ha/atom
magnetization = 0.0 μB per formula unit
DOS(E_F) = 1.65 states/eV per cell
formation energy from the elements = -0.226 eV per atom

abc: 6.394 6.394 3.382
angles: 74.66 74.66 30.67
Fractional coordinates of all 3 atoms:
Zn1 0.643 0.643 0.357
Al1 0.026 0.026 0.974
La1 0.331 0.331 0.669